Entry 1:
PBE UPa6Sb10, relaxed; spin magnetization = 8.7 μB/f.u.; density of states at the Fermi level = 1.551 states/eV/atom; space group = P-31m; DFT total energy = -6.920 eV per atom
1.0
9.316 0.000 0.000
-4.658 8.068 0.000
0.000 0.000 6.174
U Pa Sb
1 6 10
Cartesian
0.000 0.000 0.000 U
-1.797 3.113 1.526 Pa
-2.861 4.955 4.648 Pa
3.594 0.000 1.526 Pa
1.797 3.113 4.648 Pa
5.721 0.000 4.648 Pa
2.861 4.955 1.526 Pa
-1.261 2.183 4.547 Sb
-3.397 5.884 1.628 Sb
2.521 0.000 4.547 Sb
1.261 2.183 1.628 Sb
0.000 5.378 0.000 Sb
0.000 5.378 3.087 Sb
4.658 2.689 0.000 Sb
4.658 2.689 3.087 Sb
6.795 0.000 1.628 Sb
3.397 5.884 4.547 Sb

Entry 2:
PBE UPaSb, relaxed; spin magnetization = 0.0 μB/f.u.; density of states at the Fermi level = 1.979 states/eV/atom; offset from the most stable computed form = 0.096 eV/atom; space group = C2/m
1.0
3.796 -3.025 0.000
3.796 3.025 0.000
-1.888 0.000 6.190
U Pa Sb
2 2 2
Cartesian
0.893 0.000 0.860 U
4.812 0.000 5.330 U
0.901 0.000 5.252 Pa
4.804 0.000 0.939 Pa
2.852 1.491 3.095 Sb
2.852 -1.491 3.095 Sb

Entry 3:
PBE UPaSb, relaxed; spin magnetization = 2.4 μB/f.u.; density of states at the Fermi level = 2.454 states/eV/atom; offset from the most stable computed form = 0.240 eV/atom; space group = P-6m2
1.0
5.044 0.000 0.000
-2.522 4.368 0.000
0.000 0.000 3.191
U Pa Sb
1 1 1
Cartesian
0.000 0.000 0.000 U
0.000 2.912 0.000 Pa
2.522 1.456 1.596 Sb

Entry 4:
PBE UPaSb, relaxed; spin magnetization = 0.0 μB/f.u.; density of states at the Fermi level = 1.971 states/eV/atom; offset from the most stable computed form = 0.000 eV/atom; space group = I4mm
1.0
-1.852 1.852 5.095
1.852 -1.852 5.095
1.852 1.852 -5.095
U Pa Sb
1 1 1
Cartesian
0.000 0.000 0.000 U
0.000 0.000 4.035 Pa
0.000 0.000 7.101 Sb

Entry 5:
PBE PaV2Sb, relaxed; spin magnetization = 0.0 μB/f.u.; density of states at the Fermi level = 0.916 states/eV/atom; offset from the most stable computed form = 0.018 eV/atom; space group = Fm-3m
1.0
0.000 3.299 3.299
3.299 0.000 3.299
3.299 3.299 0.000
Pa V Sb
1 2 1
Cartesian
0.000 0.000 0.000 Pa
1.650 1.650 1.650 V
4.949 4.949 4.949 V
3.299 3.299 3.299 Sb

Entry 6:
PBE PaVSb3, relaxed; spin magnetization = 1.3 μB/f.u.; density of states at the Fermi level = 1.067 states/eV/atom; space group = Pbcm; DFT total energy = -6.533 eV per atom
1.0
12.449 0.000 0.000
0.000 6.299 0.000
0.000 0.000 6.065
Pa V Sb
4 4 12
Cartesian
2.457 0.065 1.516 Pa
2.457 3.084 4.549 Pa
9.992 3.215 1.516 Pa
9.992 6.234 4.549 Pa
4.862 1.575 0.000 V
4.862 1.575 3.033 V
7.588 4.724 0.000 V
7.588 4.724 3.033 V
0.003 1.575 0.000 Sb
0.003 1.575 3.033 Sb
12.447 4.724 0.000 Sb
12.447 4.724 3.033 Sb
3.280 3.239 1.516 Sb
3.280 6.209 4.549 Sb
5.481 3.773 4.549 Sb
5.481 5.675 1.516 Sb
6.968 0.624 4.549 Sb
6.968 2.526 1.516 Sb
9.169 0.089 1.516 Sb
9.169 3.060 4.549 Sb